Here is NaTiTl after structural relaxation from Alexandria. Energies are from PBE.

Cell: 9.4019 9.4019 4.6213 Å, 90.00 90.00 160.48°
Atoms (fractional coordinates):
Na: 0.2014 0.7986 0.7500
Na: 0.7986 0.2014 0.2500
Ti: 0.0260 0.9740 0.7500
Ti: 0.9740 0.0260 0.2500
Tl: 0.3890 0.6110 0.7500
Tl: 0.6110 0.3890 0.2500

Values from the calculation:
density of states at the Fermi level: 4.1 states/eV/cell
theoretical density: 6.70 g cm⁻³
total magnetization: 0.00 Bohr magnetons per cell
ΔE_f: 0.16 eV/atom
DFT total energy: -0.2722 Ry per atom
relative energy among the computed polymorphs: 0.1069 eV/atom
volume: 68.2 Å³/f.u.